The following is a DFT calculation (PBEsol) of a relaxed TlGa2AgBi crystal.

Properties
**Symmetry**: No. 123
**Spin magnetization**: 0.00 μB/cell
**Total energy**: -13.7 eV per formula unit

Lattice parameters (Å, degrees): 5.5874 5.5874 5.2438 90.00 90.00 90.00
Last column: nearest neighbours and their distance in Å.
Fractional coordinates of all 5 atoms:
Tl 0.0000 0.0000 0.0000  8 Ga 3.83, 4 Ag 3.95
Ga 0.0000 0.5000 0.5000  2 Bi 2.79
Ga 0.5000 0.0000 0.5000  2 Bi 2.79
Ag 0.5000 0.5000 0.0000  2 Bi 2.62
Bi 0.5000 0.5000 0.5000  2 Ag 2.62, 4 Ga 2.79